(1)
Density functional theory data (PBE) for a relaxed structure of Th3Ge2Pt.

Properties
- Formation enthalpy at 0 K: -0.855 eV/atom
- Spin magnetization: 0.000 Bohr magnetons per cell
- Volume: 611 Å³ per cell

```
data_Th3Ge2Pt
_cell_length_a 12.141
_cell_length_b 4.306
_cell_length_c 11.685
_cell_angle_alpha 90.00
_cell_angle_beta 90.00
_cell_angle_gamma 90.00
_space_group_name_H-M_alt 'P n m a'
_space_group_IT_number 62
_space_group_name_Hall '-P 2ac 2n'
loop_
_atom_site_label
_atom_site_fract_x
_atom_site_fract_y
_atom_site_fract_z
Th1 0.049 0.250 0.123
Th2 0.123 0.750 0.561
Th3 0.218 0.250 0.797
Ge1 0.012 0.750 0.308
Ge2 0.189 0.750 0.007
Pt1 0.129 0.250 0.374
```



(2)
Density functional theory data (PBE) for a relaxed structure of Th4Ge2Pt.

Properties
- Formation enthalpy at 0 K: -0.739 eV/atom
- Spin magnetization: 0.000 Bohr magnetons per cell
- Volume: 748 Å³ per cell

```
data_Th4Ge2Pt
_cell_length_a 8.938
_cell_length_b 8.946
_cell_length_c 9.353
_cell_angle_alpha 90.00
_cell_angle_beta 90.00
_cell_angle_gamma 90.00
_space_group_name_H-M_alt 'I 21 21 21'
_space_group_IT_number 24
_space_group_name_Hall 'I 2b 2c'
loop_
_atom_site_label
_atom_site_fract_x
_atom_site_fract_y
_atom_site_fract_z
Th1 0.069 0.062 0.432
Th2 0.188 0.319 0.818
Ge1 0.114 0.000 0.750
Ge2 0.250 0.363 0.500
Pt1 0.000 0.250 0.125
```



(3)
Density functional theory data (PBE) for a relaxed structure of ThGe2Pt6.

Properties
- Formation enthalpy at 0 K: -0.690 eV/atom
- Spin magnetization: 0.000 Bohr magnetons per cell
- Volume: 180 Å³ per cell

```
data_ThGe2Pt6
_cell_length_a 5.5303
_cell_length_b 5.5303
_cell_length_c 6.7895
_cell_angle_alpha 90.00
_cell_angle_beta 90.00
_cell_angle_gamma 120.00
_space_group_name_H-M_alt 'P 6/m m m'
_space_group_IT_number 191
_space_group_name_Hall '-P 6 2'
loop_
_atom_site_label
_atom_site_fract_x
_atom_site_fract_y
_atom_site_fract_z
Th1 0.0000 0.0000 0.0000
Ge1 0.3333 0.6667 0.5000
Pt1 0.0000 0.5000 0.2108
```



(4)
Density functional theory data (PBE) for a relaxed structure of Th2Ge3Pt.

Properties
- Formation enthalpy at 0 K: -0.835 eV/atom
- Spin magnetization: 0.000 Bohr magnetons per cell
- Volume: 1070 Å³ per cell

```
data_Th2Ge3Pt
_cell_length_a 8.370
_cell_length_b 8.596
_cell_length_c 14.874
_cell_angle_alpha 90.00
_cell_angle_beta 90.00
_cell_angle_gamma 90.00
_space_group_name_H-M_alt 'F m m m'
_space_group_IT_number 69
_space_group_name_Hall '-F 2 2'
loop_
_atom_site_label
_atom_site_fract_x
_atom_site_fract_y
_atom_site_fract_z
Th1 0.247 0.000 0.000
Th2 0.250 0.250 0.250
Ge1 0.000 0.000 0.169
Ge2 0.000 0.249 0.416
Pt1 0.000 0.000 0.335
```



(5)
Density functional theory data (PBE) for a relaxed structure of ThGe3Pt3.

Properties
- Formation enthalpy at 0 K: -0.357 eV/atom
- Spin magnetization: 0.000 Bohr magnetons per cell
- Volume: 312 Å³ per cell

```
data_ThGe3Pt3
_cell_length_a 6.784
_cell_length_b 6.784
_cell_length_c 6.784
_cell_angle_alpha 90.00
_cell_angle_beta 90.00
_cell_angle_gamma 90.00
_space_group_name_H-M_alt 'P m -3 n'
_space_group_IT_number 223
_space_group_name_Hall '-P 4n 2 3'
loop_
_atom_site_label
_atom_site_fract_x
_atom_site_fract_y
_atom_site_fract_z
Th1 0.000 0.000 0.000
Ge1 0.000 0.250 0.500
Pt1 0.000 0.500 0.250
```



(6)
Density functional theory data (PBE) for a relaxed structure of Th2Ge2Pt.

Properties
- Formation enthalpy at 0 K: -0.939 eV/atom
- Spin magnetization: 0.000 Bohr magnetons per cell
- Volume: 471 Å³ per cell

```
data_Th2Ge2Pt
_cell_length_a 11.050
_cell_length_b 4.326
_cell_length_c 11.056
_cell_angle_alpha 90.00
_cell_angle_beta 117.05
_cell_angle_gamma 90.00
_space_group_name_H-M_alt 'C 1 2/m 1'
_space_group_IT_number 12
_space_group_name_Hall '-C 2y'
loop_
_atom_site_label
_atom_site_fract_x
_atom_site_fract_y
_atom_site_fract_z
Th1 0.087 0.000 0.396
Th2 0.200 0.500 0.152
Ge1 0.048 0.000 0.918
Ge2 0.146 0.500 0.621
Pt1 0.079 0.500 0.821
```



(7)
Density functional theory data (PBE) for a relaxed structure of ThGePt.

Properties
- Formation enthalpy at 0 K: -0.593 eV/atom
- Spin magnetization: 0.000 Bohr magnetons per cell
- Volume: 140 Å³ per cell

```
data_ThGePt
_cell_length_a 4.008
_cell_length_b 4.008
_cell_length_c 8.698
_cell_angle_alpha 90.00
_cell_angle_beta 90.00
_cell_angle_gamma 90.00
_space_group_name_H-M_alt 'I 4 m m'
_space_group_IT_number 107
_space_group_name_Hall 'I 4 -2'
loop_
_atom_site_label
_atom_site_fract_x
_atom_site_fract_y
_atom_site_fract_z
Th1 0.000 0.000 0.000
Ge1 0.000 0.000 0.337
Pt1 0.000 0.000 0.636
```



(8)
Density functional theory data (PBE) for a relaxed structure of ThGe2Pt8.

Properties
- Formation enthalpy at 0 K: -0.336 eV/atom
- Spin magnetization: 0.000 Bohr magnetons per cell
- Volume: 230 Å³ per cell

```
data_ThGe2Pt8
_cell_length_a 5.496
_cell_length_b 5.496
_cell_length_c 7.627
_cell_angle_alpha 90.00
_cell_angle_beta 90.00
_cell_angle_gamma 90.00
_space_group_name_H-M_alt 'P 4/m m m'
_space_group_IT_number 123
_space_group_name_Hall '-P 4 2'
loop_
_atom_site_label
_atom_site_fract_x
_atom_site_fract_y
_atom_site_fract_z
Th1 0.000 0.000 0.000
Ge1 0.000 0.500 0.500
Pt1 0.254 0.254 0.284
```



The following DOS(E_F) values (in states/eV per atom) correspond, in order, to the records above: 0.818; 0.968; 0.442; 0.549; 0.595; 0.720; 0.959; 0.506.